Material: Co2TePt
Method: DFT, PBE-GGA
State: optimized geometry

Formation energy (no corrections): 0.21 eV per atom
Fermi-level density of states: 3.6 states/eV/f.u.

Lattice parameters (Å, degrees): 5.520 7.816 3.908 90.00 134.91 90.00
Space group C2 (No. 5)
Asymmetric unit:
Co1 0.000 0.000 0.000 [2 per cell]
Co2 0.000 0.251 0.500 [2 per cell]
Te1 0.000 0.751 0.500 [2 per cell]
Pt1 0.000 0.501 0.000 [2 per cell]